Entry 1:
10
Lattice="4.644 0.000 0.000 0.000 4.644 0.000 0.000 0.000 10.484" Properties=species:S:1:pos:R:3 comment="Sr2CuSb3Pt4, relaxed, DFT GGA-PBE" sg=P-4m2 crystal_system=tetragonal dft_energy_ev_per_atom=-5.127 pbc="T T T"
Sr 0.000 2.322 2.562
Sr 2.322 0.000 7.922
Cu 2.322 2.322 0.000
Sb 0.000 0.000 0.000
Sb 0.000 2.322 6.615
Sb 2.322 0.000 3.869
Pt 0.000 0.000 5.242
Pt 0.000 2.322 9.235
Pt 2.322 0.000 1.249
Pt 2.322 2.322 5.242



Entry 2:
5
Lattice="5.804 0.000 0.000 0.000 5.804 0.000 0.000 0.000 5.837" Properties=species:S:1:pos:R:3 comment="RbYCd2Sn, relaxed, DFT GGA-PBE" sg=P4/mmm crystal_system=tetragonal ef_ev_per_atom=0.24 dft_energy_ev_per_atom=-2.417 pbc="T T T"
Rb 0.000 0.000 0.000
Y 2.902 2.902 0.000
Cd 0.000 2.902 2.919
Cd 2.902 0.000 2.919
Sn 2.902 2.902 2.919



Entry 3:
9
Lattice="5.135 -2.985 0.000 5.135 2.985 0.000 -0.063 0.000 6.334" Properties=species:S:1:pos:R:3 comment="GePb2Au6, relaxed, DFT GGA-PBE" de_polymorph_ev_per_atom=0.0000 sg=C2/m crystal_system=monoclinic ef_ev_per_atom=-0.03 dft_energy_ev_per_atom=-3.548 pbc="T T T"
Ge 0.000 0.000 0.000
Pb 3.414 0.000 0.850
Pb 6.792 0.000 5.484
Au 1.724 0.000 4.321
Au 4.197 1.433 4.301
Au 6.008 1.433 2.034
Au 4.197 -1.433 4.301
Au 6.008 -1.433 2.034
Au 8.481 0.000 2.013



Entry 4:
6
Lattice="0.000 3.963 3.963 3.963 0.000 3.963 3.963 3.963 0.000" Properties=species:S:1:pos:R:3 comment="PmAgGe4, relaxed, DFT GGA-PBE" sg=F-43m crystal_system=cubic ef_ev_per_atom=-0.13 dft_energy_ev_per_atom=-4.478 pbc="T T T"
Pm 0.000 0.000 0.000
Ag 5.944 5.944 5.944
Ge 2.978 2.978 2.978
Ge 4.947 4.947 2.978
Ge 4.947 2.978 4.947
Ge 2.978 4.947 4.947



Entry 5:
4
Lattice="1.588 0.917 8.679 -1.588 0.917 8.679 0.000 -1.834 8.679" Properties=species:S:1:pos:R:3 comment="AgAu2Cl, relaxed, DFT GGA-PBE" de_polymorph_ev_per_atom=0.1722 sg=R-3m crystal_system=trigonal dft_energy_ev_per_atom=-2.678 pbc="T T T"
Ag 0.000 0.000 0.000
Au 0.000 0.000 6.505
Au 0.000 0.000 19.531
Cl 0.000 0.000 13.018



Entry 6:
5
Lattice="4.891 0.000 0.000 0.000 4.891 0.000 0.000 0.000 4.891" Properties=species:S:1:pos:R:3 comment="SrSc3W, relaxed, DFT GGA-PBE" de_polymorph_ev_per_atom=1.5979 sg=Pm-3m crystal_system=cubic ef_ev_per_atom=2.00 dft_energy_ev_per_atom=-4.722 pbc="T T T"
Sr 0.000 0.000 0.000
Sc 0.000 0.000 2.445
Sc 0.000 2.445 0.000
Sc 2.445 0.000 0.000
W 2.445 2.445 2.445



Entry 7:
13
Lattice="-4.445 4.445 2.763 4.445 -4.445 2.763 4.445 4.445 -2.763" Properties=species:S:1:pos:R:3 comment="SrZn8Pd4, relaxed, DFT GGA-PBE" sg=I4/mmm crystal_system=tetragonal ef_ev_per_atom=-0.42 dft_energy_ev_per_atom=-2.934 pbc="T T T"
Sr 0.000 0.000 0.000
Zn 3.110 0.000 0.000
Zn 5.781 0.000 0.000
Zn 4.445 2.448 0.000
Zn 0.000 3.110 0.000
Zn 2.448 4.445 0.000
Zn 1.997 0.000 2.763
Zn 0.000 5.781 0.000
Zn 0.000 1.997 2.763
Pd 2.223 2.223 -1.382
Pd 2.223 -2.223 1.382
Pd -2.223 2.223 1.382
Pd 2.223 2.223 1.382



Entry 8:
10
Lattice="3.538 0.000 0.000 -1.769 8.443 0.000 -0.010 -3.820 10.858" Properties=species:S:1:pos:R:3 comment="Pm7NdSc2, relaxed, DFT GGA-PBE" de_polymorph_ev_per_atom=0.0000 sg=P-1 crystal_system=triclinic ef_ev_per_atom=0.06 dft_energy_ev_per_atom=-5.010 pbc="T T T"
Pm 0.000 0.000 0.000
Pm -0.006 0.669 3.286
Pm -0.006 1.509 9.509
Pm -0.002 6.148 2.266
Pm 1.762 -1.525 8.592
Pm 1.766 3.115 1.348
Pm 1.765 3.954 7.571
Nd -0.005 -1.910 5.429
Sc -0.005 3.557 4.627
Sc 1.764 1.067 6.231



Entry 9:
4
Lattice="1.665 0.961 9.458 -1.665 0.961 9.458 0.000 -1.923 9.458" Properties=species:S:1:pos:R:3 comment="NpTaSe2, relaxed, DFT GGA-PBE" sg=R-3m crystal_system=trigonal dft_energy_ev_per_atom=-8.253 pbc="T T T"
Np 0.000 0.000 0.000
Ta 0.000 0.000 14.187
Se 0.000 0.000 2.958
Se 0.000 0.000 25.416



Entry 10:
5
Lattice="5.081 0.000 0.000 0.000 5.081 0.000 0.000 0.000 5.081" Properties=species:S:1:pos:R:3 comment="Al3PbCl, relaxed, DFT GGA-PBE" de_polymorph_ev_per_atom=0.0000 sg=Pm-3m crystal_system=cubic dft_energy_ev_per_atom=-2.861 pbc="T T T"
Al 0.000 0.000 2.540
Al 0.000 2.540 0.000
Al 2.540 0.000 0.000
Pb 2.540 2.540 2.540
Cl 0.000 0.000 0.000



Entry 11:
12
Lattice="7.708 -1.779 0.000 7.708 1.779 0.000 -1.518 0.000 6.882" Properties=species:S:1:pos:R:3 comment="Ca3Pu2ThN6, relaxed, DFT GGA-PBE" sg=C2/m crystal_system=monoclinic dft_energy_ev_per_atom=-8.916 pbc="T T T"
Ca 0.000 0.000 0.000
Ca 4.078 0.000 4.603
Ca 9.820 0.000 2.279
Pu 4.862 0.000 1.120
Pu 9.036 0.000 5.762
Th -0.759 0.000 3.441
N 1.604 0.000 4.209
N 2.627 0.000 0.437
N 7.176 0.000 1.763
N 6.722 0.000 5.119
N 11.271 0.000 6.445
N 12.294 0.000 2.673



Entry 12:
5
Lattice="5.489 0.000 0.000 0.000 5.489 0.000 0.000 0.000 4.920" Properties=species:S:1:pos:R:3 comment="NaCa2GaRu, relaxed, DFT GGA-PBE" sg=P4/mmm crystal_system=tetragonal ef_ev_per_atom=-0.01 dft_energy_ev_per_atom=-3.537 pbc="T T T"
Na 0.000 0.000 0.000
Ca 0.000 2.744 2.460
Ca 2.744 0.000 2.460
Ga 2.744 2.744 0.000
Ru 2.744 2.744 2.460